Entry 1:
Ti2Ni3Ir3: relaxed, PBE.

Values from the calculation:
Total energy ... -64.44 eV for the cell shown
Symmetry ... Pmmm, No. 47
Theoretical density ... 13.3 g cm⁻³

Cell lengths 3.6898, 3.7828, 7.6061 Å; angles 90.00, 90.00, 90.00 degrees
Last column: nearest neighbours and their distance in Å.
Atoms (fractional coordinates):
Ti 0.0000 0.0000 0.7473  6 Ni 2.63-2.70, 6 Ir 2.64-2.66
Ti 0.0000 0.0000 0.2527  6 Ni 2.63-2.70, 6 Ir 2.64-2.66
Ni 0.5000 0.0000 0.5000  4 Ir 2.63, 4 Ti 2.63, 4 Ni 2.64
Ni 0.0000 0.5000 0.0000  8 Ir 2.64-2.70, 4 Ti 2.70
Ni 0.0000 0.5000 0.5000  4 Ir 2.60, 4 Ni 2.64, 4 Ti 2.67
Ir 0.5000 0.5000 0.7410  6 Ni 2.60-2.70, 4 Ti 2.64, 2 Ir 2.73
Ir 0.5000 0.5000 0.2590  6 Ni 2.60-2.70, 4 Ti 2.64, 2 Ir 2.73
Ir 0.5000 0.0000 0.0000  4 Ni 2.64, 4 Ti 2.66, 4 Ir 2.73


Entry 2:
Ti3Ni2Ir: relaxed, PBE.

Values from the calculation:
Total energy ... -47.18 eV for the cell shown
Symmetry ... P4/mmm, No. 123
Theoretical density ... 8.9 g cm⁻³
Distance to the lowest polymorph of the same formula ... 35.9 meV/atom

Cell lengths 2.9500, 2.9500, 9.7500 Å; angles 90.00, 90.00, 90.00 degrees
Last column: nearest neighbours and their distance in Å.
Atoms (fractional coordinates):
Ti 0.0000 0.0000 0.0000  8 Ni 2.58
Ti 0.0000 0.0000 0.6761  4 Ni 2.65, 4 Ir 2.70, 4 Ti 2.95
Ti 0.0000 0.0000 0.3239  4 Ni 2.65, 4 Ir 2.70, 4 Ti 2.95
Ni 0.5000 0.5000 0.8435  8 Ti 2.58-2.65
Ni 0.5000 0.5000 0.1565  8 Ti 2.58-2.65
Ir 0.5000 0.5000 0.5000  8 Ti 2.70, 4 Ir 2.95